# 1
Ho2Er5Sc5: relaxed, PBE. Values from VASP.

Calculated values
* offset from the most stable computed form: 34 meV/atom
* SG: C2/m, No. 12
* energy of formation from the pure elements: 1.0 eV per formula unit

Quantum ESPRESSO input file:
```
&SYSTEM
  ibrav = 0, nat = 12, ntyp = 3
/
ATOMIC_SPECIES
Ho 164.93 Ho.upf
Er 167.26 Er.upf
Sc 44.96 Sc.upf
CELL_PARAMETERS angstrom
8.010 -2.698 0.000
8.010 2.698 0.000
-5.104 0.000 7.821
ATOMIC_POSITIONS crystal
Ho 0.092 0.092 0.425
Ho 0.908 0.908 0.575
Er 0.000 0.000 0.000
Er 0.180 0.180 0.860
Er 0.265 0.265 0.299
Er 0.735 0.735 0.701
Er 0.820 0.820 0.140
Sc 0.348 0.348 0.725
Sc 0.430 0.430 0.126
Sc 0.500 0.500 0.500
Sc 0.570 0.570 0.874
Sc 0.652 0.652 0.275
```

# 2
Ho12Er5Sc2: relaxed, PBE. Values from VASP.

Calculated values
* offset from the most stable computed form: 0 meV/atom
* SG: P-1, No. 2
* energy of formation from the pure elements: 1.7 eV per formula unit

Quantum ESPRESSO input file:
```
&SYSTEM
  ibrav = 0, nat = 19, ntyp = 3
/
ATOMIC_SPECIES
Ho 164.93 Ho.upf
Er 167.26 Er.upf
Sc 44.96 Sc.upf
CELL_PARAMETERS angstrom
6.340 0.000 0.000
-1.217 8.721 0.000
-0.572 -3.876 10.479
ATOMIC_POSITIONS crystal
Ho 0.006 0.401 0.219
Ho 0.027 0.196 0.640
Ho 0.198 0.174 0.358
Ho 0.311 0.009 0.805
Ho 0.448 0.657 0.262
Ho 0.459 0.263 0.127
Ho 0.541 0.737 0.873
Ho 0.552 0.343 0.738
Ho 0.689 0.991 0.195
Ho 0.802 0.826 0.642
Ho 0.973 0.804 0.360
Ho 0.994 0.599 0.781
Er 0.155 0.865 0.074
Er 0.279 0.601 0.538
Er 0.500 0.000 0.500
Er 0.721 0.399 0.462
Er 0.845 0.135 0.926
Sc 0.236 0.450 0.964
Sc 0.764 0.550 0.036
```

Which formula does entry 2 have? Ho12Er5Sc2

Which of these has the lowest energy of formation from the pure elements? Ho2Er5Sc5

What did the second record say?
Ho12Er5Sc2: relaxed, PBE. Values from VASP.

Calculated values
* offset from the most stable computed form: 0 meV/atom
* SG: P-1, No. 2
* energy of formation from the pure elements: 1.7 eV per formula unit

Quantum ESPRESSO input file:
```
&SYSTEM
  ibrav = 0, nat = 19, ntyp = 3
/
ATOMIC_SPECIES
Ho 164.93 Ho.upf
Er 167.26 Er.upf
Sc 44.96 Sc.upf
CELL_PARAMETERS angstrom
6.340 0.000 0.000
-1.217 8.721 0.000
-0.572 -3.876 10.479
ATOMIC_POSITIONS crystal
Ho 0.006 0.401 0.219
Ho 0.027 0.196 0.640
Ho 0.198 0.174 0.358
Ho 0.311 0.009 0.805
Ho 0.448 0.657 0.262
Ho 0.459 0.263 0.127
Ho 0.541 0.737 0.873
Ho 0.552 0.343 0.738
Ho 0.689 0.991 0.195
Ho 0.802 0.826 0.642
Ho 0.973 0.804 0.360
Ho 0.994 0.599 0.781
Er 0.155 0.865 0.074
Er 0.279 0.601 0.538
Er 0.500 0.000 0.500
Er 0.721 0.399 0.462
Er 0.845 0.135 0.926
Sc 0.236 0.450 0.964
Sc 0.764 0.550 0.036
```

Which value of energy of formation from the pure elements does entry 1 give? 1.0 eV per formula unit